Compound: Er2H8Ru
Source: Alexandria via LeMat-Bulk
Functional: GGA-PBE
Structure: relaxed

The space group is C2/m (No. 12) and the conventional cell measures 13.0953, 3.5368 and 4.1730 Å, with angles of 90.00, 108.55 and 90.00 degrees. The inequivalent atoms are Er at (0.1469, 0.0000, 0.1461), H at (0.0000, 0.0000, 0.2982), H at (0.1127, 0.5000, 0.3784), H at (0.1141, 0.5000, 0.8426), H at (0.2381, 0.0000, 0.7374) and Ru at (0.0000, 0.5000, 0.5000).

The calculation puts the energy at -4.504 eV/atom.



Compound: Ho2Fe3
Source: Alexandria via LeMat-Bulk
Functional: GGA-PBE
Structure: relaxed

The space group is Cmce (No. 64) and the conventional cell measures 5.0111, 9.6873 and 7.3611 Å, with angles of 90.00, 90.00 and 90.00 degrees. The inequivalent atoms are Ho at (0.0000, 0.1602, 0.0978), Fe at (0.0000, 0.0000, 0.5000) and Fe at (0.2500, 0.0852, 0.7500).

The calculation puts the energy at -6.949 eV/atom. The formation energy from the elements is -0.041 eV/atom.



Compound: Si4C2O
Source: Alexandria via LeMat-Bulk
Functional: GGA-PBE
Structure: relaxed

The space group is I4/mmm (No. 139) and the conventional cell measures 3.5320, 3.5320 and 13.8086 Å, with angles of 90.00, 90.00 and 90.00 degrees. The inequivalent atoms are Si at (0.0000, 0.0000, 0.2217), Si at (0.0000, 0.5000, 0.0000), C at (0.0000, 0.0000, 0.0865) and O at (0.0000, 0.0000, 0.5000).

The calculation puts the energy at -6.193 eV/atom. The uncorrected formation energy is 168 kJ/mol of formula units.